Compound: Si2PbCl
Source: the Alexandria database
Functional: PBE
Structure: relaxed

abc: 3.9131 3.9131 7.9824
angles: 104.11 104.11 59.99
Fractional positions:
1 Si 0.0000 0.0000 0.0000
2 Si 0.6973 0.6973 0.0925
3 Pb 0.4591 0.4591 0.3821
4 Cl 0.2077 0.2077 0.6273

Properties
**Uncorrected formation energy**: -79 meV per atom
**Offset from the most stable computed form**: 0.00 kJ per mole of atoms
**SG**: Cm, No. 8
**Crystal system**: monoclinic

=====

Compound: SiPbCl
Source: the Alexandria database
Functional: PBE
Structure: relaxed

abc: 3.4413 3.4413 7.2192
angles: 90.00 90.00 120.00
Fractional positions:
1 Si 0.0000 0.0000 0.0000
2 Pb 0.3333 0.6667 0.6776
3 Cl 0.6667 0.3333 0.2447

Properties
**Uncorrected formation energy**: 145 meV per atom
**Offset from the most stable computed form**: 11.75 kJ per mole of atoms
**SG**: P3m1, No. 156
**Crystal system**: trigonal

=====

Compound: Si2PbCl
Source: the Alexandria database
Functional: PBE
Structure: relaxed

abc: 3.0522 5.2421 5.6702
angles: 90.00 90.00 90.00
Fractional positions:
1 Si 0.0000 0.0000 0.2242
2 Si 0.0000 0.0000 0.7758
3 Pb 0.5000 0.5000 0.5000
4 Cl 0.5000 0.5000 0.0000

Properties
**Uncorrected formation energy**: 466 meV per atom
**Offset from the most stable computed form**: 52.56 kJ per mole of atoms
**SG**: Pmmm, No. 47
**Crystal system**: orthorhombic

=====

Compound: Si2PbCl
Source: the Alexandria database
Functional: PBE
Structure: relaxed

abc: 3.2006 3.2006 9.7181
angles: 90.00 90.00 118.84
Fractional positions:
1 Si 0.0000 0.0000 0.2209
2 Si 0.0000 0.0000 0.7791
3 Pb 0.5000 0.5000 0.5000
4 Cl 0.5000 0.5000 0.0000

Properties
**Uncorrected formation energy**: 513 meV per atom
**Offset from the most stable computed form**: 57.13 kJ per mole of atoms
**SG**: Cmmm, No. 65
**Crystal system**: orthorhombic

=====

Q: What is the offset from the most stable computed form in the second record?
A: 11.75 kJ per mole of atoms

=====

Q: Which of these has the lowest uncorrected formation energy?
A: number 1

=====

Q: What is the formula in the fourth record?
A: Si2PbCl

=====

Q: What is the formula in the third record?
A: Si2PbCl